Entry 1:
A plane-wave DFT calculation with GGA-PBE was carried out for a relaxed Ce5GaTe4 crystal.

Structure (extended XYZ):
```
10
Lattice="-5.628 -2.249 1.720 0.347 -6.370 4.342 -2.625 2.849 6.674" Properties=species:S:1:pos:R:3 pbc="T T T"
Ce -2.821 -1.127 0.862
Ce -7.068 -2.192 8.645
Ce -4.961 -1.704 4.639
Ce -0.849 -3.583 4.096
Ce -2.957 -4.070 8.102
Te -2.087 -0.635 3.900
Te -5.830 -5.139 8.841
Te -3.692 -4.583 5.026
Te -4.226 -1.191 7.714
Ga -0.007 -0.003 0.002
```

Total magnetic moment in μB/atom: 0.521
E in eV/atom: -5.693
Calculated volume in Å³ per atom: 31.27
E_form (uncorrected) in eV/atom: -1.167
N(E_F) in states/eV per atom: 3.49

=====

Entry 2:
A plane-wave DFT calculation with GGA-PBE was carried out for a relaxed Ce2GaTe crystal.

Structure (extended XYZ):
```
8
Lattice="-0.707 3.264 -2.698 2.718 -1.939 -3.058 -10.665 -4.839 -3.058" Properties=species:S:1:pos:R:3 pbc="T T T"
Ce -7.365 -3.637 -7.592
Ce -2.391 -0.532 -5.140
Ce -6.263 -2.983 -3.675
Ce -1.289 0.122 -1.223
Ga -8.796 -4.565 -4.924
Ga 0.143 1.050 -3.891
Te -3.748 -1.413 -2.435
Te -4.906 -2.102 -6.380
```

Total magnetic moment in μB/atom: 0.522
Excess energy over the best structure of this formula in the dataset in meV/atom: 0
E in eV/atom: -5.391
Calculated volume in Å³ per atom: 28.90
E_form (uncorrected) in eV/atom: -0.882
N(E_F) in states/eV per atom: 3.26

=====

Entry 3:
A plane-wave DFT calculation with GGA-PBE was carried out for a relaxed CeThGa2 crystal.

Structure (extended XYZ):
```
4
Lattice="-1.518 -3.004 -0.277 2.972 -1.543 0.442 -1.300 -0.112 8.348" Properties=species:S:1:pos:R:3 pbc="T T T"
Th 0.077 -2.329 4.257
Ga -0.319 -0.027 2.049
Ga -0.981 -0.084 6.299
Ce 0.727 -2.273 0.083
```

Total magnetic moment in μB/atom: 0.071
E in eV/atom: -5.304
Calculated volume in Å³ per atom: 24.10
Energy of formation from the pure elements in eV/atom: -0.452
N(E_F) in states/eV per atom: 1.44

=====

Entry 4:
A plane-wave DFT calculation with GGA-PBE was carried out for a relaxed CeThGa4 crystal.

Structure (extended XYZ):
```
6
Lattice="-4.202 1.908 -3.213 -5.274 -1.692 0.972 -3.759 3.598 2.132" Properties=species:S:1:pos:R:3 pbc="T T T"
Ga -5.636 3.229 -0.554
Ga -6.171 1.430 1.538
Ga -6.393 0.585 -1.133
Ga -8.272 2.383 -0.068
Th 0.000 0.000 0.000
Ce -3.309 0.953 -0.027
```

Total magnetic moment in μB/atom: 0.164
Excess energy over the best structure of this formula in the dataset in meV/atom: 136
E in eV/atom: -4.725
Calculated volume in Å³ per atom: 20.96
Energy of formation from the pure elements in eV/atom: -0.482
N(E_F) in states/eV per atom: 1.47

=====

Entry 5:
A plane-wave DFT calculation with GGA-PBE was carried out for a relaxed Ce2ThGa crystal.

Structure (extended XYZ):
```
4
Lattice="3.458 -0.001 -0.001 1.728 2.995 -0.001 1.724 0.995 10.538" Properties=species:S:1:pos:R:3 pbc="T T T"
Th 3.456 1.995 5.266
Ce 1.728 0.998 2.370
Ce 1.725 0.996 8.164
Ga 3.457 1.996 0.002
```

Total magnetic moment in μB/atom: 0.002
Excess energy over the best structure of this formula in the dataset in meV/atom: 150
E in eV/atom: -5.652
Calculated volume in Å³ per atom: 27.28
Energy of formation from the pure elements in eV/atom: -0.073
N(E_F) in states/eV per atom: 1.99

=====

Entry 6:
A plane-wave DFT calculation with GGA-PBE was carried out for a relaxed CeThGa4 crystal.

Structure (extended XYZ):
```
6
Lattice="-4.110 1.100 0.382 1.101 -3.334 -2.433 -0.750 -5.123 6.680" Properties=species:S:1:pos:R:3 pbc="T T T"
Ga -0.821 -3.119 0.152
Ga -2.938 -4.238 4.477
Ga -2.558 -1.640 1.090
Ga -1.201 -5.716 3.539
Th -0.375 -2.561 3.340
Ce 0.000 0.000 0.000
```

Total magnetic moment in μB/atom: 0.103
Excess energy over the best structure of this formula in the dataset in meV/atom: 0
E in eV/atom: -4.861
Calculated volume in Å³ per atom: 22.26
Energy of formation from the pure elements in eV/atom: -0.618
N(E_F) in states/eV per atom: 0.96

=====

Entry 7:
A plane-wave DFT calculation with GGA-PBE was carried out for a relaxed Ce2ThGa crystal.

Structure (extended XYZ):
```
4
Lattice="4.877 0.000 0.000 0.000 4.622 0.000 0.000 0.000 4.622" Properties=species:S:1:pos:R:3 pbc="T T T"
Th 2.438 2.311 2.311
Ga 2.438 0.000 0.000
Ce 0.000 2.311 0.000
Ce 0.000 0.000 2.311
```

Total magnetic moment in μB/atom: 0.312
Excess energy over the best structure of this formula in the dataset in meV/atom: 13
E in eV/atom: -5.789
Calculated volume in Å³ per atom: 26.05
Energy of formation from the pure elements in eV/atom: -0.211
N(E_F) in states/eV per atom: 2.60

=====

Entry 8:
A plane-wave DFT calculation with GGA-PBE was carried out for a relaxed Ce2ThGa crystal.

Structure (extended XYZ):
```
4
Lattice="-0.467 3.844 2.436 -3.556 1.252 -2.657 -1.082 -4.856 3.159" Properties=species:S:1:pos:R:3 pbc="T T T"
Ce -1.562 -1.161 1.533
Ce -3.543 1.401 1.406
Th -0.234 1.922 1.218
Ga -1.778 0.626 -1.329
```

Total magnetic moment in μB/atom: 0.220
Excess energy over the best structure of this formula in the dataset in meV/atom: 25
E in eV/atom: -5.777
Calculated volume in Å³ per atom: 25.95
Energy of formation from the pure elements in eV/atom: -0.199
N(E_F) in states/eV per atom: 2.51

=====

Entry 9:
A plane-wave DFT calculation with GGA-PBE was carried out for a relaxed CeThGa4 crystal.

Structure (extended XYZ):
```
6
Lattice="-2.448 3.438 0.573 -3.404 -2.208 -1.298 1.622 -2.707 7.338" Properties=species:S:1:pos:R:3 pbc="T T T"
Ga -2.092 0.327 4.928
Ga -1.661 1.019 2.620
Ga -3.144 0.266 0.801
Ga -1.087 -1.743 5.812
Ce -2.354 -2.149 2.839
Th 0.000 0.000 0.000
```

Total magnetic moment in μB/atom: 0.111
Excess energy over the best structure of this formula in the dataset in meV/atom: 8
E in eV/atom: -4.854
Calculated volume in Å³ per atom: 22.37
Energy of formation from the pure elements in eV/atom: -0.610
N(E_F) in states/eV per atom: 1.24

=====

Entry 10:
A plane-wave DFT calculation with GGA-PBE was carried out for a relaxed Ce12ThGa6 crystal.

Structure (extended XYZ):
```
19
Lattice="8.286 0.076 0.107 -1.980 8.046 0.107 -1.980 -2.551 7.631" Properties=species:S:1:pos:R:3 pbc="T T T"
Ce 2.275 0.107 3.141
Ce 2.275 2.930 1.136
Ce 6.233 3.827 0.939
Ce 2.050 2.640 6.709
Ce 6.233 -0.375 3.922
Ce -0.460 2.230 3.141
Ce 2.050 5.464 4.704
Ce 2.162 6.987 0.939
Ce 4.785 3.340 4.704
Ce -1.908 1.744 6.906
Ce 2.162 -1.416 6.906
Ce -1.908 5.945 3.922
Ga 0.306 5.087 2.194
Ga 4.852 1.558 2.194
Ga 0.306 0.394 5.525
Ga 4.018 0.484 5.651
Ga 4.018 5.176 2.319
Ga -0.527 4.013 5.651
Th 0.000 0.000 0.000
```

Total magnetic moment in μB/atom: 0.398
E in eV/atom: -5.210
Calculated volume in Å³ per atom: 27.07
Energy of formation from the pure elements in eV/atom: -0.116
N(E_F) in states/eV per atom: 2.83

=====

Entry 11:
A plane-wave DFT calculation with GGA-PBE was carried out for a relaxed CeThGa2 crystal.

Structure (extended XYZ):
```
8
Lattice="4.129 0.000 0.000 0.000 6.007 0.000 0.000 0.000 8.203" Properties=species:S:1:pos:R:3 pbc="T T T"
Th 0.000 0.795 5.559
Th 0.000 5.211 1.458
Ga 2.064 5.250 3.808
Ga 0.000 2.280 0.288
Ga 2.064 0.757 7.909
Ga 0.000 3.727 4.389
Ce 2.064 3.825 6.751
Ce 2.064 2.182 2.649
```

Total magnetic moment in μB/atom: 0.259
E in eV/atom: -5.333
Calculated volume in Å³ per atom: 25.43
Energy of formation from the pure elements in eV/atom: -0.481
N(E_F) in states/eV per atom: 1.82

=====

Entry 12:
A plane-wave DFT calculation with GGA-PBE was carried out for a relaxed Ce5ThGa3 crystal.

Structure (extended XYZ):
```
18
Lattice="-0.338 -0.595 6.499 3.423 -8.317 -0.583 5.498 7.080 0.934" Properties=species:S:1:pos:R:3 pbc="T T T"
Ga 1.040 -2.882 1.433
Ga 6.861 -4.010 4.918
Ga 5.905 -0.979 1.860
Ga 2.044 -6.031 4.482
Ga 2.678 -0.853 4.989
Ga 1.722 2.178 1.932
Ce 6.968 -3.791 1.658
Ce 4.638 1.651 3.678
Ce 3.944 -3.483 3.172
Ce 2.175 -5.641 1.240
Ce 1.614 1.959 5.191
Ce 4.807 1.948 0.428
Ce 0.909 -3.271 4.676
Ce 5.637 -1.263 5.106
Ce 4.113 -3.185 -0.077
Ce 2.946 -0.569 1.744
Th 0.000 0.000 0.000
Th -0.169 -0.297 3.249
```

Total magnetic moment in μB/atom: 0.604
E in eV/atom: -5.432
Calculated volume in Å³ per atom: 25.54
Energy of formation from the pure elements in eV/atom: -0.302
N(E_F) in states/eV per atom: 2.35

=====

Question: What is the total magnetic moment in the seventh record?
Answer: 0.312 μB/atom

=====

Question: Which formula does entry 12 have?
Answer: Ce5ThGa3

=====

What did the first record say?
A plane-wave DFT calculation with GGA-PBE was carried out for a relaxed Ce5GaTe4 crystal.

Structure (extended XYZ):
```
10
Lattice="-5.628 -2.249 1.720 0.347 -6.370 4.342 -2.625 2.849 6.674" Properties=species:S:1:pos:R:3 pbc="T T T"
Ce -2.821 -1.127 0.862
Ce -7.068 -2.192 8.645
Ce -4.961 -1.704 4.639
Ce -0.849 -3.583 4.096
Ce -2.957 -4.070 8.102
Te -2.087 -0.635 3.900
Te -5.830 -5.139 8.841
Te -3.692 -4.583 5.026
Te -4.226 -1.191 7.714
Ga -0.007 -0.003 0.002
```

Total magnetic moment in μB/atom: 0.521
E in eV/atom: -5.693
Calculated volume in Å³ per atom: 31.27
E_form (uncorrected) in eV/atom: -1.167
N(E_F) in states/eV per atom: 3.49

=====

Question: What is the E in the first record?
Answer: -5.693 eV/atom